The following is a meta-GGA SCAN calculation of In2TePtS at its PBEsol-relaxed geometry, from Alexandria.

Computed properties:
E_form (uncorrected): 607 meV per atom
Magnetization: 0.0 μB/cell
Space-group type: P4/mmm
Total DFT energy (no corrections): -36.1624 eV/atom

Cell lengths 5.7023, 5.7023, 4.7866 Å; angles 90.00, 90.00, 90.00 degrees
Atoms (fractional coordinates):
1 In 0.0000 0.5000 0.0000
2 In 0.5000 0.0000 0.0000
3 Te 0.0000 0.0000 0.0000
4 Pt 0.0000 0.0000 0.5000
5 S 0.5000 0.5000 0.5000

The following is a meta-GGA SCAN calculation of Be2BiIr at its PBEsol-relaxed geometry, from Alexandria.

Computed properties:
Magnetization: 0.0 μB/cell
Formation energy from the elements: 301 meV per atom
Space-group type: I-42d
Total DFT energy (no corrections): -39.2950 eV/atom

Cell lengths 4.1306, 4.1306, 15.7358 Å; angles 90.00, 90.00, 90.00 degrees
Atoms (fractional coordinates):
1 Be 0.0717 0.2500 0.1250
2 Be 0.2500 0.5717 0.3750
3 Be 0.2500 0.9283 0.8750
4 Be 0.4283 0.2500 0.6250
5 Be 0.5717 0.7500 0.6250
6 Be 0.7500 0.0717 0.8750
7 Be 0.7500 0.4283 0.3750
8 Be 0.9283 0.7500 0.1250
9 Bi 0.0000 0.0000 0.5000
10 Bi 0.0000 0.5000 0.7500
11 Bi 0.5000 0.0000 0.2500
12 Bi 0.5000 0.5000 0.0000
13 Ir 0.0000 0.0000 0.0000
14 Ir 0.0000 0.5000 0.2500
15 Ir 0.5000 0.0000 0.7500
16 Ir 0.5000 0.5000 0.5000

The following is a meta-GGA SCAN calculation of Be2ReAu at its PBEsol-relaxed geometry, from Alexandria.

Computed properties:
Magnetization: 0.0 μB/cell
Formation energy from the elements: -23 meV per atom
Space-group type: Amm2
Total DFT energy (no corrections): -37.2632 eV/atom

Cell lengths 3.8952, 2.7014, 8.9839 Å; angles 90.00, 90.00, 90.00 degrees
Atoms (fractional coordinates):
1 Be 0.0000 0.0000 0.0000
2 Be 0.0000 0.5000 0.5000
3 Be 0.5000 0.0000 0.1520
4 Be 0.5000 0.5000 0.6520
5 Re 0.5000 0.0000 0.4224
6 Re 0.5000 0.5000 0.9224
7 Au 0.0000 0.0000 0.7325
8 Au 0.0000 0.5000 0.2325

The following is a meta-GGA SCAN calculation of KCa2Nb3O10 at its PBEsol-relaxed geometry, from Alexandria.

Computed properties:
E_form (uncorrected): -2948 meV per atom
Magnetization: 0.0 μB/cell
Space-group type: Cmc2_1
Total DFT energy (no corrections): -14.7828 eV/atom

Cell lengths 14.7156, 14.7156, 7.8022 Å; angles 90.00, 90.00, 164.70 degrees
Atoms (fractional coordinates):
1 K 0.2448 0.7552 0.5000
2 K 0.7552 0.2448 0.0000
3 Ca 0.0734 0.9266 0.4794
4 Ca 0.0786 0.9214 0.9982
5 Ca 0.9214 0.0786 0.4982
6 Ca 0.9266 0.0734 0.9794
7 Nb 0.3553 0.6447 0.7527
8 Nb 0.3572 0.6428 0.2429
9 Nb 0.4986 0.5014 0.2521
10 Nb 0.5014 0.4986 0.7521
11 Nb 0.6428 0.3572 0.7429
12 Nb 0.6447 0.3553 0.2527
13 O 0.0017 0.9983 0.2905
14 O 0.1261 0.8739 0.7427
15 O 0.1283 0.8717 0.2525
16 O 0.2953 0.7047 0.7995
17 O 0.2969 0.7031 0.2018
18 O 0.3541 0.6459 0.5001
19 O 0.3807 0.6193 0.9982
20 O 0.4349 0.5651 0.3291
21 O 0.4354 0.5646 0.6988
22 O 0.4793 0.5207 0.0176
23 O 0.5207 0.4793 0.5176
24 O 0.5646 0.4354 0.1988
25 O 0.5651 0.4349 0.8291
26 O 0.6193 0.3807 0.4982
27 O 0.6459 0.3541 0.0001
28 O 0.7031 0.2969 0.7018
29 O 0.7047 0.2953 0.2995
30 O 0.8717 0.1283 0.7525
31 O 0.8739 0.1261 0.2427
32 O 0.9983 0.0017 0.7905

The following is a meta-GGA SCAN calculation of CrReW2 at its PBEsol-relaxed geometry, from Alexandria.

Computed properties:
Magnetization: 0.0 μB/cell
Formation energy from the elements: 36 meV per atom
Space-group type: P4mm
Total DFT energy (no corrections): -57.1787 eV/atom

Cell lengths 3.0624, 3.0624, 6.1419 Å; angles 90.00, 90.00, 90.00 degrees
Atoms (fractional coordinates):
1 Cr 0.0000 0.0000 0.0000
2 Re 0.5000 0.5000 0.2511
3 W 0.0000 0.0000 0.5024
4 W 0.5000 0.5000 0.7721

The following is a meta-GGA SCAN calculation of Co2AuCl at its PBEsol-relaxed geometry, from Alexandria.

Computed properties:
E_form (uncorrected): 386 meV per atom
Magnetization: 16.0 μB/cell
Space-group type: I-42d
Total DFT energy (no corrections): -27.5499 eV/atom

Cell lengths 5.3080, 5.3080, 10.5102 Å; angles 90.00, 90.00, 90.00 degrees
Atoms (fractional coordinates):
1 Co 0.2037 0.2500 0.1250
2 Co 0.2500 0.7037 0.3750
3 Co 0.2500 0.7963 0.8750
4 Co 0.2963 0.2500 0.6250
5 Co 0.7037 0.7500 0.6250
6 Co 0.7500 0.2037 0.8750
7 Co 0.7500 0.2963 0.3750
8 Co 0.7963 0.7500 0.1250
9 Au 0.0000 0.0000 0.5000
10 Au 0.0000 0.5000 0.7500
11 Au 0.5000 0.0000 0.2500
12 Au 0.5000 0.5000 0.0000
13 Cl 0.0000 0.0000 0.0000
14 Cl 0.0000 0.5000 0.2500
15 Cl 0.5000 0.0000 0.7500
16 Cl 0.5000 0.5000 0.5000

The following is a meta-GGA SCAN calculation of Al5Ag7 at its PBEsol-relaxed geometry, from Alexandria.

Computed properties:
Magnetization: 0.0 μB/cell
Formation energy from the elements: -95 meV per atom
Space-group type: P-1
Total DFT energy (no corrections): -21.6224 eV/atom

Cell lengths 5.5245, 5.8855, 6.2715 Å; angles 76.40, 77.61, 89.55 degrees
Atoms (fractional coordinates):
1 Al 0.0000 0.0000 0.0000
2 Al 0.1794 0.1708 0.3279
3 Al 0.1820 0.6666 0.3269
4 Al 0.8180 0.3334 0.6731
5 Al 0.8206 0.8292 0.6721
6 Ag 0.0000 0.5000 0.0000
7 Ag 0.3143 0.8387 0.6580
8 Ag 0.3163 0.3330 0.6574
9 Ag 0.5000 0.0000 0.0000
10 Ag 0.5000 0.5000 0.0000
11 Ag 0.6837 0.6670 0.3426
12 Ag 0.6857 0.1613 0.3420

The following is a meta-GGA SCAN calculation of Y2CdNi at its PBEsol-relaxed geometry, from Alexandria.

Computed properties:
Magnetization: 0.0 μB/cell
Formation energy from the elements: -428 meV per atom
Space-group type: P4/mmm
Total DFT energy (no corrections): -25.9960 eV/atom

Cell lengths 3.4246, 3.4246, 7.3898 Å; angles 90.00, 90.00, 90.00 degrees
Atoms (fractional coordinates):
1 Y 0.0000 0.0000 0.2166
2 Y 0.0000 0.0000 0.7834
3 Cd 0.5000 0.5000 0.5000
4 Ni 0.5000 0.5000 0.0000

The following is a meta-GGA SCAN calculation of CaAuSe2 at its PBEsol-relaxed geometry, from Alexandria.

Computed properties:
E_form (uncorrected): -1039 meV per atom
Magnetization: 0.0 μB/cell
Space-group type: Pm
Total DFT energy (no corrections): -30.7830 eV/atom

Cell lengths 3.9046, 4.6684, 5.3651 Å; angles 90.00, 105.38, 90.00 degrees
Atoms (fractional coordinates):
1 Ca 0.0000 0.0000 0.0000
2 Au 0.5335 0.5000 0.5607
3 Se 0.3263 0.0000 0.5580
4 Se 0.5341 0.5000 0.0666

The following is a meta-GGA SCAN calculation of BaBeAs at its PBEsol-relaxed geometry, from Alexandria.

Computed properties:
Magnetization: 2.2 μB/cell
Formation energy from the elements: 133 meV per atom
Space-group type: F-43m
Total DFT energy (no corrections): -21.2318 eV/atom

Cell lengths 7.0026, 7.0026, 7.0026 Å; angles 90.00, 90.00, 90.00 degrees
Atoms (fractional coordinates):
1 Ba 0.0000 0.0000 0.0000
2 Ba 0.0000 0.5000 0.5000
3 Ba 0.5000 0.0000 0.5000
4 Ba 0.5000 0.5000 0.0000
5 Be 0.0000 0.0000 0.5000
6 Be 0.0000 0.5000 0.0000
7 Be 0.5000 0.0000 0.0000
8 Be 0.5000 0.5000 0.5000
9 As 0.2500 0.2500 0.2500
10 As 0.2500 0.7500 0.7500
11 As 0.7500 0.2500 0.7500
12 As 0.7500 0.7500 0.2500

The following is a meta-GGA SCAN calculation of CaAgW2 at its PBEsol-relaxed geometry, from Alexandria.

Computed properties:
Magnetization: 0.0 μB/cell
Formation energy from the elements: 939 meV per atom
Space-group type: Pmmm
Total DFT energy (no corrections): -44.1626 eV/atom

Cell lengths 2.6627, 5.0349, 5.3870 Å; angles 90.00, 90.00, 90.00 degrees
Atoms (fractional coordinates):
1 Ca 0.0000 0.0000 0.0000
2 Ag 0.0000 0.0000 0.5000
3 W 0.5000 0.5000 0.2437
4 W 0.5000 0.5000 0.7563